Record 1
SrSiAg2 | PBE | optimized geometry

The calculation puts the total moment at 0.0 μB per cell. The calculation puts the uncorrected formation energy at -0.17 eV per atom. The volume comes out at 23.88 Å³ per atom.

The structure belongs to space group C2/m (No. 12); the cell edges are 7.837, 4.522 and 5.980 Å and the angles 90.00°, 115.68° and 90.00°. The inequivalent atoms are Sr at (0.000, 0.000, 0.000), Si at (0.000, 0.500, 0.500) and Ag at (0.203, 0.000, 0.609).

Record 2
SrSiAg2 | PBE | optimized geometry

The calculation puts the total moment at 0.0 μB per cell. The calculation puts the uncorrected formation energy at -0.04 eV per atom. The volume comes out at 24.03 Å³ per atom.

The structure belongs to space group Pm (No. 6); the cell edges are 3.703, 4.434 and 6.129 Å and the angles 90.00°, 107.21° and 90.00°. The inequivalent atoms are Sr at (0.000, 0.000, 0.000), Si at (0.371, 0.500, 0.739), Ag at (0.272, 0.000, 0.534) and Ag at (0.711, 0.500, 0.412).

Record 3
SrSiAg2 | PBE | optimized geometry

The calculation puts the total moment at 0.0 μB per cell. The calculation puts the uncorrected formation energy at 0.19 eV per atom. The volume comes out at 22.61 Å³ per atom.

The structure belongs to space group C2/m (No. 12); the cell edges are 6.172, 10.594 and 3.168 Å and the angles 90.00°, 119.17° and 90.00°. The inequivalent atoms are Sr at (0.000, 0.000, 0.000), Si at (0.000, 0.500, 0.000) and Ag at (0.250, 0.250, 0.500).

Record 4
SrSi2Ag3 | PBE | optimized geometry

The calculation puts the total moment at 0.0 μB per cell. The calculation puts the uncorrected formation energy at -0.09 eV per atom. The volume comes out at 21.41 Å³ per atom.

The structure belongs to space group Immm (No. 71); the cell edges are 4.392, 8.115 and 14.416 Å and the angles 90.00°, 90.00° and 90.00°. The inequivalent atoms are Sr at (0.000, 0.000, 0.151), Si at (0.000, 0.358, 0.500), Si at (0.000, 0.500, 0.169), Ag at (0.000, 0.176, 0.357) and Ag at (0.000, 0.325, 0.000).

Record 5
Sr2SiAg2 | PBE | optimized geometry

The offset from the most stable computed form is 10 meV/atom. The calculation puts the total moment at 0.0 μB per cell. The calculation puts the uncorrected formation energy at -0.13 eV per atom. The volume comes out at 26.57 Å³ per atom.

The structure belongs to space group P4/mbm (No. 127); the cell edges are 7.430, 7.430 and 4.814 Å and the angles 90.00°, 90.00° and 90.00°. The inequivalent atoms are Sr at (0.185, 0.315, 0.000), Si at (0.000, 0.000, 0.500) and Ag at (0.133, 0.633, 0.500).

Record 6
Sr4SiAg | PBE | optimized geometry

The calculation puts the total moment at 0.0 μB per cell. The calculation puts the uncorrected formation energy at 0.65 eV per atom. The volume comes out at 38.65 Å³ per atom.

The structure belongs to space group F-43m (No. 216); the cell edges are 9.753, 9.753 and 9.753 Å and the angles 90.00°, 90.00° and 90.00°. The inequivalent atoms are Sr at (0.124, 0.124, 0.376), Si at (0.250, 0.250, 0.750) and Ag at (0.000, 0.000, 0.000).

Record 7
Sr2SiAg2 | PBE | optimized geometry

The offset from the most stable computed form is 0 meV/atom. The calculation puts the total moment at 0.0 μB per cell. The calculation puts the uncorrected formation energy at -0.14 eV per atom. The volume comes out at 28.12 Å³ per atom.

The structure belongs to space group I4/mmm (No. 139); the cell edges are 3.881, 3.881 and 18.663 Å and the angles 90.00°, 90.00° and 90.00°. The inequivalent atoms are Sr at (0.000, 0.000, 0.100), Si at (0.000, 0.000, 0.500) and Ag at (0.000, 0.500, 0.250).

Record 8
SrSi2Ag4 | PBE | optimized geometry

The calculation puts the total moment at 0.0 μB per cell. The calculation puts the uncorrected formation energy at -0.18 eV per atom. The volume comes out at 19.81 Å³ per atom.

The structure belongs to space group Cmmm (No. 65); the cell edges are 4.428, 14.140 and 4.430 Å and the angles 90.00°, 90.00° and 90.00°. The inequivalent atoms are Sr at (0.000, 0.000, 0.000), Si at (0.000, 0.416, 0.500), Ag at (0.000, 0.181, 0.500) and Ag at (0.000, 0.320, 0.000).